AgSbIr2: relaxed, GGA-PBEsol.

Summary:
**Calculated density**: 15.356 g cm⁻³
**Crystal system**: trigonal
**Calculated volume**: 199 Å³ per cell
**E_form (uncorrected)**: 41.36 kJ per mole of atoms
**Calculated total energy**: -0.474 Ry/atom

a b c (Å): 3.0041 3.0041 25.4887
angles (deg): 90.00 90.00 120.00
Space group R-3m (No. 166, hexagonal axes)
Inequivalent atoms, fractional coordinates:
Ag1 0.0000 0.0000 0.0000 [3 per cell]
Sb1 0.0000 0.0000 0.5000 [3 per cell]
Ir1 0.0000 0.0000 0.2463 [6 per cell]